1.
Computed, not measured: BaFeRu after structural relaxation at the PBE-GGA level of DFT.

space group: Pm (6)
energy above the lowest structure with this stoichiometry: 12.1 meV/atom
energy relative to the elements: 0.34 eV/atom
Fermi-level density of states: 8.76 states/eV per cell
energy: -6.21 eV/atom

Cell lengths 8.961, 4.301, 4.682 Å; angles 89.99, 89.50, 89.98 degrees
Site moments in Bohr magnetons follow the coordinates.
Sites, in units of the cell vectors:
Ba  0.371  0.702  0.231  -0.06
Ba  0.793  0.203  0.736  -0.04
Fe  0.080  0.702  0.638  2.02
Fe  0.166  0.202  0.818  2.57
Ru  0.010  0.702  0.110  0.03
Ru  0.078  0.202  0.329  0.05

***

2.
Computed, not measured: KGa4Ag4 after structural relaxation at the PBE-GGA level of DFT.

space group: P4_2/nmc (137)
energy relative to the elements: -0.02 eV/atom
Fermi-level density of states: 7.91 states/eV per cell
energy: -2.76 eV/atom

Cell lengths 6.397, 6.397, 9.298 Å; angles 90.00, 90.00, 90.00 degrees
Sites, in units of the cell vectors:
Ga  0.203  0.500  0.187
Ga  0.000  0.297  0.687
Ga  0.500  0.203  0.813
Ga  0.297  0.000  0.313
Ga  0.500  0.797  0.813
Ga  0.000  0.703  0.687
Ga  0.797  0.500  0.187
Ga  0.703  0.000  0.313
Ag  0.000  0.271  0.400
Ag  0.271  0.000  0.600
Ag  0.500  0.771  0.100
Ag  0.000  0.729  0.400
Ag  0.229  0.500  0.900
Ag  0.729  0.000  0.600
Ag  0.500  0.229  0.100
Ag  0.771  0.500  0.900
K  0.500  0.500  0.500
K  0.000  0.000  0.000

***

3.
Computed, not measured: ThH11Pd5 after structural relaxation at the PBE-GGA level of DFT.

space group: C2/m (12)
Fermi-level density of states: 2.49 states/eV per cell
energy: -4.23 eV/atom

Cell lengths 6.191, 6.191, 4.974 Å; angles 64.79, 64.79, 82.30 degrees
Sites, in units of the cell vectors:
H  0.377  0.832  0.709
H  0.163  0.425  0.889
H  0.575  0.837  0.111
H  0.425  0.163  0.889
H  0.837  0.575  0.111
H  0.168  0.623  0.291
H  0.275  0.275  0.378
H  0.725  0.725  0.622
H  0.832  0.377  0.709
H  0.623  0.168  0.291
H  0.000  0.000  0.500
Pd  0.374  0.004  0.314
Pd  0.996  0.626  0.686
Pd  0.626  0.996  0.686
Pd  0.004  0.374  0.314
Pd  0.500  0.500  0.000
Th  0.000  0.000  0.000

***

4.
Computed, not measured: Sb2I3F5 after structural relaxation at the PBE-GGA level of DFT.

space group: Ibam (72)
E_form (uncorrected): -1.2504 eV per atom
Fermi-level density of states: 13.69 states/eV per cell
energy: -3.48 eV/atom

Cell lengths 8.623, 8.998, 8.998 Å; angles 55.78, 61.37, 61.37 degrees
Sites, in units of the cell vectors:
F  0.823  0.480  0.873
F  0.487  0.263  0.263
F  0.750  0.500  0.500
F  0.677  0.127  0.520
F  0.513  0.737  0.737
F  0.177  0.520  0.127
F  0.323  0.873  0.480
F  0.987  0.263  0.263
F  0.013  0.737  0.737
F  0.250  0.500  0.500
I  0.575  0.620  0.229
I  0.250  0.000  0.000
I  0.425  0.380  0.771
I  0.925  0.771  0.380
I  0.750  0.000  0.000
I  0.075  0.229  0.620
Sb  0.260  0.242  0.239
Sb  0.760  0.239  0.242
Sb  0.740  0.758  0.761
Sb  0.240  0.761  0.758

***

5.
Computed, not measured: LiV5Rh6 after structural relaxation at the PBE-GGA level of DFT.

space group: Immm (71)
energy relative to the elements: -0.37 eV/atom
Fermi-level density of states: 8.60 states/eV per cell
energy: -8.00 eV/atom

Cell lengths 4.028, 7.095, 7.095 Å; angles 112.10, 106.49, 106.49 degrees
Sites, in units of the cell vectors:
V  0.000  0.641  0.359
V  0.500  0.500  0.500
V  0.000  0.359  0.641
V  0.500  0.184  0.816
V  0.500  0.816  0.184
Rh  0.769  0.601  0.937
Rh  0.231  0.063  0.399
Rh  0.769  0.937  0.601
Rh  0.721  0.221  0.221
Rh  0.279  0.779  0.779
Rh  0.231  0.399  0.063
Li  0.000  0.000  0.000

***

6.
Computed, not measured: Nb2TcBiH after structural relaxation at the PBE-GGA level of DFT.

space group: P4/mmm (123)
Fermi-level density of states: 3.95 states/eV per cell
energy: -6.97 eV/atom

Cell lengths 5.048, 3.453, 5.048 Å; angles 90.00, 90.00, 90.00 degrees
Sites, in units of the cell vectors:
Tc  0.000  0.000  0.000
Bi  0.500  0.500  0.500
Nb  0.000  0.000  0.500
Nb  0.500  0.000  0.000
H  0.000  0.500  0.000

***

7.
Computed, not measured: Dy2TmTh3Bi6 after structural relaxation at the PBE-GGA level of DFT.

space group: C2/m (12)
energy relative to the elements: -0.70 eV/atom
Fermi-level density of states: 6.60 states/eV per cell
energy: -5.63 eV/atom

Cell lengths 4.537, 9.034, 10.127 Å; angles 102.71, 102.94, 90.00 degrees
Sites, in units of the cell vectors:
Th  0.167  0.833  0.335
Th  0.833  0.167  0.665
Th  0.500  0.500  0.000
Dy  0.833  0.667  0.667
Dy  0.167  0.333  0.333
Bi  0.663  0.088  0.326
Bi  0.998  0.758  0.996
Bi  0.669  0.577  0.337
Bi  0.002  0.242  0.004
Bi  0.337  0.912  0.674
Bi  0.331  0.423  0.663
Tm  0.500  0.000  0.000

***

8.
Computed, not measured: Ba2YSc after structural relaxation at the PBE-GGA level of DFT.

space group: R3m (160)
energy above the lowest structure with this stoichiometry: 86.5 meV/atom
energy relative to the elements: 0.28 eV/atom
Fermi-level density of states: 6.84 states/eV per cell
energy: -3.88 eV/atom

Cell lengths 12.706, 12.706, 12.706 Å; angles 17.51, 17.51, 17.51 degrees
Sites, in units of the cell vectors:
Ba  0.007  0.007  0.007
Ba  0.239  0.239  0.239
Y  0.761  0.761  0.761
Sc  0.493  0.493  0.493

***

9.
Computed, not measured: Li2CaAs after structural relaxation at the PBE-GGA level of DFT.

space group: Cmmm (65)
energy relative to the elements: -0.52 eV/atom
Fermi-level density of states: 0.70 states/eV per cell
energy: -3.14 eV/atom

Cell lengths 4.707, 4.371, 4.370 Å; angles 84.47, 90.00, 90.00 degrees
Site moments in Bohr magnetons follow the coordinates.
Sites, in units of the cell vectors:
As  0.500  0.250  0.250  0.05
Li  0.000  0.433  0.434  0.04
Li  0.000  0.067  0.066  0.04
Ca  0.500  0.750  0.750  0.09

***

10.
Computed, not measured: PdCl2F after structural relaxation at the PBE-GGA level of DFT.

space group: Fm-3m (225)
energy above the lowest structure with this stoichiometry: 721.0 meV/atom
E_form (uncorrected): 0.0260 eV per atom
Fermi-level density of states: 5.55 states/eV per cell
energy: -2.66 eV/atom

Cell lengths 4.402, 4.402, 4.402 Å; angles 60.00, 60.00, 60.00 degrees
Sites, in units of the cell vectors:
Cl  0.250  0.250  0.250
Cl  0.750  0.750  0.750
Pd  0.500  0.500  0.500
F  0.000  0.000  0.000

***

11.
Computed, not measured: Na3La2HfSe6 after structural relaxation at the PBE-GGA level of DFT.

space group: C2/m (12)
E_form (uncorrected): -1.5497 eV per atom
Fermi-level density of states: 4.67 states/eV per cell
energy: -5.27 eV/atom

Cell lengths 7.261, 7.261, 7.447 Å; angles 99.47, 99.47, 120.02 degrees
Sites, in units of the cell vectors:
La  0.333  0.667  0.000
La  0.667  0.333  0.000
Se  0.773  0.773  0.230
Se  0.384  0.079  0.234
Se  0.921  0.616  0.766
Se  0.079  0.384  0.234
Se  0.616  0.921  0.766
Se  0.227  0.227  0.770
Na  0.169  0.831  0.500
Na  0.500  0.500  0.500
Na  0.831  0.169  0.500
Hf  0.000  0.000  0.000

***

12.
Computed, not measured: AcYHgPd after structural relaxation at the PBE-GGA level of DFT.

space group: F-43m (216)
energy relative to the elements: -0.54 eV/atom
Fermi-level density of states: 3.15 states/eV per cell
energy: -4.56 eV/atom

Cell lengths 5.365, 5.365, 5.365 Å; angles 60.00, 60.00, 60.00 degrees
Sites, in units of the cell vectors:
Hg  0.250  0.250  0.250
Y  0.000  0.000  0.000
Ac  0.500  0.500  0.500
Pd  0.750  0.750  0.750

***

Question: Look up the Fermi-level density of states of the second one.
Answer: 7.91 states/eV per cell